[1]
# MgBPt3, optimized geometry, DFT GGA-PBE
data_MgBPt3
_space_group_name_H-M_alt 'C 1 c 1'
_space_group_IT_number 9
_cell_length_a 9.7560
_cell_length_b 5.6673
_cell_length_c 5.6078
_cell_angle_alpha 90.00
_cell_angle_beta 111.20
_cell_angle_gamma 90.00
loop_
_space_group_symop_operation_xyz
'x,y,z'
'x,-y,z+1/2'
'x+1/2,y+1/2,z'
'x+1/2,-y+1/2,z+1/2'
loop_
_atom_site_label
_atom_site_type_symbol
_atom_site_fract_x
_atom_site_fract_y
_atom_site_fract_z
Mg1 Mg 0.0000 0.1902 0.0000
B1 B 0.3124 0.2502 0.7541
Pt1 Pt 0.0211 0.3072 0.5298
Pt2 Pt 0.2426 0.0630 0.4040
Pt3 Pt 0.2612 0.4235 0.0496
# energy relative to the elements	-0.582	eV/atom
# total energy	-5.8613	eV/atom
# DOS(E_F)	0.233	states/eV/atom
# total magnetic moment	0.000	μB per formula unit
# excess energy over the best structure of this formula in the dataset	2	meV/atom


[2]
# MgBPt2, optimized geometry, DFT GGA-PBE
data_MgBPt2
_space_group_name_H-M_alt 'I -4 2 d'
_space_group_IT_number 122
_space_group_name_Hall 'I -4 2bw'
_cell_length_a 6.7471
_cell_length_b 6.7471
_cell_length_c 5.2613
_cell_angle_alpha 90.00
_cell_angle_beta 90.00
_cell_angle_gamma 90.00
loop_
_atom_site_label
_atom_site_type_symbol
_atom_site_fract_x
_atom_site_fract_y
_atom_site_fract_z
Mg1 Mg 0.0000 0.0000 0.0000
B1 B 0.0000 0.0000 0.5000
Pt1 Pt 0.1472 0.7500 0.6250
# energy relative to the elements	-0.486	eV/atom
# total energy	-5.5744	eV/atom
# DOS(E_F)	0.328	states/eV/atom
# total magnetic moment	0.000	μB per formula unit


[3]
# MgB3Pt, optimized geometry, DFT GGA-PBE
data_MgB3Pt
_space_group_name_H-M_alt 'P m -3 m'
_space_group_IT_number 221
_space_group_name_Hall '-P 4 2 3'
_cell_length_a 4.1777
_cell_length_b 4.1777
_cell_length_c 4.1777
_cell_angle_alpha 90.00
_cell_angle_beta 90.00
_cell_angle_gamma 90.00
loop_
_atom_site_label
_atom_site_type_symbol
_atom_site_fract_x
_atom_site_fract_y
_atom_site_fract_z
Mg1 Mg 0.0000 0.0000 0.0000
B1 B 0.0000 0.5000 0.5000
Pt1 Pt 0.5000 0.5000 0.5000
# energy relative to the elements	1.082	eV/atom
# total energy	-4.4515	eV/atom
# DOS(E_F)	0.666	states/eV/atom
# total magnetic moment	0.919	μB per formula unit
# excess energy over the best structure of this formula in the dataset	0	meV/atom


[4]
# MgB2Pt2, optimized geometry, DFT GGA-PBE
data_MgB2Pt2
_space_group_name_H-M_alt 'I 4/m m m'
_space_group_IT_number 139
_space_group_name_Hall '-I 4 2'
_cell_length_a 3.3049
_cell_length_b 3.3049
_cell_length_c 11.9401
_cell_angle_alpha 90.00
_cell_angle_beta 90.00
_cell_angle_gamma 90.00
loop_
_atom_site_label
_atom_site_type_symbol
_atom_site_fract_x
_atom_site_fract_y
_atom_site_fract_z
Mg1 Mg 0.0000 0.0000 0.0000
B1 B 0.0000 0.5000 0.2500
Pt1 Pt 0.0000 0.0000 0.3664
# energy relative to the elements	-0.270	eV/atom
# total energy	-5.6761	eV/atom
# DOS(E_F)	0.528	states/eV/atom
# total magnetic moment	0.000	μB per formula unit
# excess energy over the best structure of this formula in the dataset	0	meV/atom


[5]
# Mg2BPt4, optimized geometry, DFT GGA-PBE
data_Mg2BPt4
_space_group_name_H-M_alt 'I 4/m m m'
_space_group_IT_number 139
_space_group_name_Hall '-I 4 2'
_cell_length_a 4.1431
_cell_length_b 4.1431
_cell_length_c 13.6397
_cell_angle_alpha 90.00
_cell_angle_beta 90.00
_cell_angle_gamma 90.00
loop_
_atom_site_label
_atom_site_type_symbol
_atom_site_fract_x
_atom_site_fract_y
_atom_site_fract_z
Mg1 Mg 0.0000 0.0000 0.1480
B1 B 0.0000 0.0000 0.5000
Pt1 Pt 0.0000 0.0000 0.3429
Pt2 Pt 0.0000 0.5000 0.0000
# energy relative to the elements	-0.346	eV/atom
# total energy	-5.2070	eV/atom
# DOS(E_F)	0.565	states/eV/atom
# total magnetic moment	0.000	μB per formula unit


[6]
# MgBPt3, optimized geometry, DFT GGA-PBE
data_MgBPt3
_space_group_name_H-M_alt 'R 3 c'
_space_group_IT_number 161
_space_group_name_Hall 'R 3 -2"c'
_cell_length_a 6.3207
_cell_length_b 6.3207
_cell_length_c 12.7160
_cell_angle_alpha 90.00
_cell_angle_beta 90.00
_cell_angle_gamma 120.00
loop_
_atom_site_label
_atom_site_type_symbol
_atom_site_fract_x
_atom_site_fract_y
_atom_site_fract_z
Mg1 Mg 0.0000 0.0000 0.0000
B1 B 0.0000 0.0000 0.2087
Pt1 Pt 0.0293 0.4595 0.4896
# energy relative to the elements	-0.534	eV/atom
# total energy	-5.8124	eV/atom
# DOS(E_F)	0.248	states/eV/atom
# total magnetic moment	0.000	μB per formula unit
# excess energy over the best structure of this formula in the dataset	51	meV/atom


- total magnetic moment of number 1 (MgBPt3)?
  0.000 μB per formula unit


- The highest total magnetic moment belongs to which entry?
  MgB3Pt


- Among the records above, which one has the highest total energy?
  MgB3Pt